#i
Density functional theory data (PBE) for NiSe2I after structural relaxation.

Total magnetic moment in μB per cell: 0.00
DOS at the Fermi energy in states/eV/f.u.: 2.831

Cell and atoms, written as CIF:
```
data_NiSe2I
_cell_length_a 7.6601
_cell_length_b 8.7700
_cell_length_c 6.0363
_cell_angle_alpha 90.00
_cell_angle_beta 90.00
_cell_angle_gamma 90.00
_symmetry_space_group_name_H-M 'P 1'
_symmetry_Int_Tables_number 1
loop_
_symmetry_equiv_pos_as_xyz
'x,y,z'
loop_
_atom_site_label
_atom_site_type_symbol
_atom_site_fract_x
_atom_site_fract_y
_atom_site_fract_z
_atom_site_occupancy
Ni1 Ni 0.5449 0.3383 0.4135 1
Ni2 Ni 0.4551 0.6617 0.9135 1
Ni3 Ni 0.9551 0.8383 0.9135 1
Ni4 Ni 0.0449 0.1617 0.4135 1
Se1 Se 0.6942 0.7700 0.1153 1
Se2 Se 0.8603 0.9976 0.6094 1
Se3 Se 0.3058 0.2300 0.6153 1
Se4 Se 0.6397 0.4976 0.1094 1
Se5 Se 0.8058 0.2700 0.6153 1
Se6 Se 0.1397 0.0024 0.1094 1
Se7 Se 0.3603 0.5024 0.6094 1
Se8 Se 0.1942 0.7300 0.1153 1
I1 I 0.5551 0.1406 0.1116 1
I2 I 0.9449 0.6406 0.6116 1
I3 I 0.4449 0.8594 0.6116 1
I4 I 0.0551 0.3594 0.1116 1
```


#ii
Density functional theory data (PBE) for NiSe2I after structural relaxation.

Total magnetic moment in μB per cell: 0.00
DOS at the Fermi energy in states/eV/f.u.: 3.880

Cell and atoms, written as CIF:
```
data_NiSe2I
_cell_length_a 11.2288
_cell_length_b 7.4118
_cell_length_c 7.4118
_cell_angle_alpha 68.20
_cell_angle_beta 119.66
_cell_angle_gamma 60.34
_symmetry_space_group_name_H-M 'P 1'
_symmetry_Int_Tables_number 1
loop_
_symmetry_equiv_pos_as_xyz
'x,y,z'
loop_
_atom_site_label
_atom_site_type_symbol
_atom_site_fract_x
_atom_site_fract_y
_atom_site_fract_z
_atom_site_occupancy
Se1 Se 0.5637 0.3961 0.8264 1
Se2 Se 0.4363 0.6039 0.1736 1
Se3 Se 0.0637 0.6736 0.1039 1
Se4 Se 0.9363 0.3264 0.8961 1
Ni1 Ni 0.7500 0.2514 0.7514 1
Ni2 Ni 0.2500 0.7486 0.2486 1
I1 I 0.2500 0.1466 0.6466 1
I2 I 0.7500 0.8534 0.3534 1
```


#iii
Density functional theory data (PBE) for NiSe2I after structural relaxation.

Total magnetic moment in μB per cell: 0.00
DOS at the Fermi energy in states/eV/f.u.: 4.051

Cell and atoms, written as CIF:
```
data_NiSe2I
_cell_length_a 5.9050
_cell_length_b 10.8173
_cell_length_c 6.6041
_cell_angle_alpha 90.00
_cell_angle_beta 90.00
_cell_angle_gamma 90.00
_symmetry_space_group_name_H-M 'P 1'
_symmetry_Int_Tables_number 1
loop_
_symmetry_equiv_pos_as_xyz
'x,y,z'
loop_
_atom_site_label
_atom_site_type_symbol
_atom_site_fract_x
_atom_site_fract_y
_atom_site_fract_z
_atom_site_occupancy
I1 I 0.0159 0.8904 0.0162 1
I2 I 0.5159 0.6096 0.0162 1
I3 I 0.9841 0.1096 0.5162 1
I4 I 0.4841 0.3904 0.5162 1
Se1 Se 0.7236 0.8084 0.5210 1
Se2 Se 0.7764 0.3084 0.0210 1
Se3 Se 0.2236 0.6916 0.5210 1
Se4 Se 0.0506 0.4657 0.0938 1
Se5 Se 0.2764 0.1916 0.0210 1
Se6 Se 0.9494 0.5343 0.5938 1
Se7 Se 0.4494 0.9657 0.5938 1
Se8 Se 0.5506 0.0343 0.0938 1
Ni1 Ni 0.5892 0.6177 0.6187 1
Ni2 Ni 0.4108 0.3823 0.1187 1
Ni3 Ni 0.0892 0.8823 0.6187 1
Ni4 Ni 0.9108 0.1177 0.1187 1
```


#iv
Density functional theory data (PBE) for NiSe2I after structural relaxation.

Total magnetic moment in μB per cell: 0.00
DOS at the Fermi energy in states/eV/f.u.: 3.847

Cell and atoms, written as CIF:
```
data_NiSe2I
_cell_length_a 6.1688
_cell_length_b 6.1688
_cell_length_c 6.1688
_cell_angle_alpha 43.64
_cell_angle_beta 43.64
_cell_angle_gamma 43.64
_symmetry_space_group_name_H-M 'P 1'
_symmetry_Int_Tables_number 1
loop_
_symmetry_equiv_pos_as_xyz
'x,y,z'
loop_
_atom_site_label
_atom_site_type_symbol
_atom_site_fract_x
_atom_site_fract_y
_atom_site_fract_z
_atom_site_occupancy
Se1 Se 0.5392 0.5392 0.5392 1
Se2 Se 0.2596 0.2596 0.2596 1
Ni1 Ni 0.3998 0.3998 0.3998 1
I1 I 0.0524 0.0524 0.0524 1
```


#iii is the most stable structure; the next one sits 34 meV/atom above it.


#i
Density functional theory data (PBE) for NiSe2I after structural relaxation.

Total magnetic moment in μB per cell: 0.18
DOS at the Fermi energy in states/eV/f.u.: 3.696

Cell and atoms, written as CIF:
```
data_NiSe2I
_cell_length_a 13.4093
_cell_length_b 13.4093
_cell_length_c 13.4093
_cell_angle_alpha 13.14
_cell_angle_beta 13.14
_cell_angle_gamma 13.14
_symmetry_space_group_name_H-M 'P 1'
_symmetry_Int_Tables_number 1
loop_
_symmetry_equiv_pos_as_xyz
'x,y,z'
loop_
_atom_site_label
_atom_site_type_symbol
_atom_site_fract_x
_atom_site_fract_y
_atom_site_fract_z
_atom_site_occupancy
Se1 Se 0.0566 0.0566 0.0566 1
Se2 Se 0.9434 0.9434 0.9434 1
Ni1 Ni 0.0000 0.0000 0.0000 1
I1 I 0.5000 0.5000 0.5000 1
```


#ii
Density functional theory data (PBE) for NiSe2I after structural relaxation.

Total magnetic moment in μB per cell: 0.00
DOS at the Fermi energy in states/eV/f.u.: 0.000

Cell and atoms, written as CIF:
```
data_NiSe2I
_cell_length_a 6.7706
_cell_length_b 7.4970
_cell_length_c 5.7915
_cell_angle_alpha 106.25
_cell_angle_beta 66.01
_cell_angle_gamma 103.39
_symmetry_space_group_name_H-M 'P 1'
_symmetry_Int_Tables_number 1
loop_
_symmetry_equiv_pos_as_xyz
'x,y,z'
loop_
_atom_site_label
_atom_site_type_symbol
_atom_site_fract_x
_atom_site_fract_y
_atom_site_fract_z
_atom_site_occupancy
I1 I 0.0870 0.0661 0.9364 1
I2 I 0.4876 0.8611 0.1681 1
Se1 Se 0.8700 0.8088 0.5335 1
Se2 Se 0.0840 0.5053 0.5936 1
Se3 Se 0.2712 0.4204 0.8179 1
Se4 Se 0.7843 0.5488 0.2201 1
Ni1 Ni 0.1403 0.6400 0.1879 1
Ni2 Ni 0.8243 0.6865 0.8885 1
```


#ii is the most stable structure; the next one sits 497 meV/atom above it.


#i
Density functional theory data (PBE) for NiSe2I after structural relaxation.

Total magnetic moment in μB per cell: 0.00
DOS at the Fermi energy in states/eV/f.u.: 1.677

Cell and atoms, written as CIF:
```
data_NiSe2I
_cell_length_a 15.2749
_cell_length_b 6.5203
_cell_length_c 6.5203
_cell_angle_alpha 82.61
_cell_angle_beta 126.68
_cell_angle_gamma 53.32
_symmetry_space_group_name_H-M 'P 1'
_symmetry_Int_Tables_number 1
loop_
_symmetry_equiv_pos_as_xyz
'x,y,z'
loop_
_atom_site_label
_atom_site_type_symbol
_atom_site_fract_x
_atom_site_fract_y
_atom_site_fract_z
_atom_site_occupancy
I1 I 0.7542 0.3269 0.3389 1
I2 I 0.2542 0.1611 0.1731 1
Ni1 Ni 0.7544 0.7464 0.7588 1
Ni2 Ni 0.2544 0.7412 0.7536 1
Se1 Se 0.9111 0.2134 0.1933 1
Se2 Se 0.0976 0.2744 0.3193 1
Se3 Se 0.4111 0.3067 0.2866 1
Se4 Se 0.5976 0.1807 0.2256 1
```


#ii
Density functional theory data (PBE) for NiSe2I after structural relaxation.

Total magnetic moment in μB per cell: 0.00
DOS at the Fermi energy in states/eV/f.u.: 2.986

Cell and atoms, written as CIF:
```
data_NiSe2I
_cell_length_a 13.3988
_cell_length_b 13.3988
_cell_length_c 3.9539
_cell_angle_alpha 90.00
_cell_angle_beta 90.00
_cell_angle_gamma 164.19
_symmetry_space_group_name_H-M 'P 1'
_symmetry_Int_Tables_number 1
loop_
_symmetry_equiv_pos_as_xyz
'x,y,z'
loop_
_atom_site_label
_atom_site_type_symbol
_atom_site_fract_x
_atom_site_fract_y
_atom_site_fract_z
_atom_site_occupancy
Ni1 Ni 0.3050 0.6950 0.2500 1
Ni2 Ni 0.6950 0.3050 0.7500 1
Se1 Se 0.1374 0.8626 0.7500 1
Se2 Se 0.8626 0.1374 0.2500 1
Se3 Se 0.7860 0.2140 0.7500 1
Se4 Se 0.2140 0.7860 0.2500 1
I1 I 0.9477 0.0523 0.7500 1
I2 I 0.0523 0.9477 0.2500 1
```


#iii
Density functional theory data (PBE) for NiSe2I after structural relaxation.

Total magnetic moment in μB per cell: 2.02
DOS at the Fermi energy in states/eV/f.u.: 4.457

Cell and atoms, written as CIF:
```
data_NiSe2I
_cell_length_a 7.0912
_cell_length_b 7.0912
_cell_length_c 6.0403
_cell_angle_alpha 54.06
_cell_angle_beta 54.06
_cell_angle_gamma 90.00
_symmetry_space_group_name_H-M 'P 1'
_symmetry_Int_Tables_number 1
loop_
_symmetry_equiv_pos_as_xyz
'x,y,z'
loop_
_atom_site_label
_atom_site_type_symbol
_atom_site_fract_x
_atom_site_fract_y
_atom_site_fract_z
_atom_site_occupancy
Se1 Se 0.7500 0.2500 0.0000 1
Se2 Se 0.2500 0.2500 0.0000 1
Se3 Se 0.2500 0.7500 0.0000 1
Se4 Se 0.7500 0.7500 0.0000 1
I1 I 0.2500 0.7500 0.5000 1
I2 I 0.7500 0.2500 0.5000 1
Ni1 Ni 0.7500 0.7500 0.5000 1
Ni2 Ni 0.2500 0.2500 0.5000 1
```


#i is the most stable structure; the next one sits 86 meV/atom above it.


#i
Density functional theory data (PBE) for Ni2SeI after structural relaxation.

Total magnetic moment in μB per cell: 0.00
DOS at the Fermi energy in states/eV/f.u.: 4.060

Cell and atoms, written as CIF:
```
data_Ni2SeI
_cell_length_a 4.5815
_cell_length_b 4.5815
_cell_length_c 4.5815
_cell_angle_alpha 60.00
_cell_angle_beta 60.00
_cell_angle_gamma 60.00
_symmetry_space_group_name_H-M 'P 1'
_symmetry_Int_Tables_number 1
loop_
_symmetry_equiv_pos_as_xyz
'x,y,z'
loop_
_atom_site_label
_atom_site_type_symbol
_atom_site_fract_x
_atom_site_fract_y
_atom_site_fract_z
_atom_site_occupancy
Ni1 Ni 0.7500 0.7500 0.7500 1
Ni2 Ni 0.2500 0.2500 0.2500 1
Se1 Se 0.0000 0.0000 0.0000 1
I1 I 0.5000 0.5000 0.5000 1
```


#ii
Density functional theory data (PBE) for Ni2SeI after structural relaxation.

Total magnetic moment in μB per cell: 0.00
DOS at the Fermi energy in states/eV/f.u.: 4.324

Cell and atoms, written as CIF:
```
data_Ni2SeI
_cell_length_a 3.9554
_cell_length_b 3.9554
_cell_length_c 6.7204
_cell_angle_alpha 72.89
_cell_angle_beta 72.89
_cell_angle_gamma 60.00
_symmetry_space_group_name_H-M 'P 1'
_symmetry_Int_Tables_number 1
loop_
_symmetry_equiv_pos_as_xyz
'x,y,z'
loop_
_atom_site_label
_atom_site_type_symbol
_atom_site_fract_x
_atom_site_fract_y
_atom_site_fract_z
_atom_site_occupancy
I1 I 0.0000 0.0000 0.0000 1
Ni1 Ni 0.8665 0.8665 0.4005 1
Ni2 Ni 0.1335 0.1335 0.5995 1
Se1 Se 0.5000 0.5000 0.5000 1
```


#ii is the most stable structure; the next one sits 591 meV/atom above it.


#i
Density functional theory data (PBE) for Ni2SeI after structural relaxation.

Total magnetic moment in μB per cell: 0.00
DOS at the Fermi energy in states/eV/f.u.: 7.711

Cell and atoms, written as CIF:
```
data_Ni2SeI
_cell_length_a 5.5949
_cell_length_b 5.5949
_cell_length_c 6.8196
_cell_angle_alpha 65.78
_cell_angle_beta 65.78
_cell_angle_gamma 90.00
_symmetry_space_group_name_H-M 'P 1'
_symmetry_Int_Tables_number 1
loop_
_symmetry_equiv_pos_as_xyz
'x,y,z'
loop_
_atom_site_label
_atom_site_type_symbol
_atom_site_fract_x
_atom_site_fract_y
_atom_site_fract_z
_atom_site_occupancy
I1 I 0.7500 0.2500 0.5000 1
I2 I 0.0000 0.0000 0.0000 1
Ni1 Ni 0.5862 0.1250 0.2500 1
Ni2 Ni 0.3750 0.4138 0.7500 1
Ni3 Ni 0.8750 0.8362 0.7500 1
Ni4 Ni 0.1638 0.6250 0.2500 1
Se1 Se 0.5000 0.5000 0.0000 1
Se2 Se 0.2500 0.7500 0.5000 1
```


#ii
Density functional theory data (PBE) for Ni2SeI after structural relaxation.

Total magnetic moment in μB per cell: 0.00
DOS at the Fermi energy in states/eV/f.u.: 2.551

Cell and atoms, written as CIF:
```
data_Ni2SeI
_cell_length_a 3.6535
_cell_length_b 6.8751
_cell_length_c 7.8714
_cell_angle_alpha 90.00
_cell_angle_beta 90.00
_cell_angle_gamma 90.00
_symmetry_space_group_name_H-M 'P 1'
_symmetry_Int_Tables_number 1
loop_
_symmetry_equiv_pos_as_xyz
'x,y,z'
loop_
_atom_site_label
_atom_site_type_symbol
_atom_site_fract_x
_atom_site_fract_y
_atom_site_fract_z
_atom_site_occupancy
Ni1 Ni 0.5000 0.8226 0.4008 1
Ni2 Ni 0.0000 0.6774 0.5992 1
Ni3 Ni 0.5000 0.1774 0.4008 1
Ni4 Ni 0.0000 0.3226 0.5992 1
Se1 Se 0.5000 0.5000 0.4602 1
Se2 Se 0.0000 0.0000 0.5398 1
I1 I 0.5000 0.0000 0.1196 1
I2 I 0.0000 0.5000 0.8804 1
```


#ii is the most stable structure; the next one sits 42 meV/atom above it.